Entry from the Alexandria database: a geometry-optimized Rb3VCu2F9 structure (PBE+U).

Calculated values
Magnetization   3.24 Bohr magnetons per cell
Total energy   -70.4 eV per formula unit

a = 5.9618 Å, b = 5.9618 Å, c = 7.3018 Å
α = 90.00°, β = 90.00°, γ = 120.00°
Space group P-3m1 (No. 164)
One atom of each set of equivalent atoms:
Rb (0.0000, 0.0000, 0.0000) (multiplicity 1)
Rb (0.3333, 0.6667, 0.6758) (multiplicity 2)
V (0.0000, 0.0000, 0.5000) (multiplicity 1)
Cu (0.3333, 0.6667, 0.1570) (multiplicity 2)
F (0.0000, 0.5000, 0.0000) (multiplicity 3)
F (0.1599, 0.3198, 0.3432) (multiplicity 6)